Material: CrNiAsBr2
Method: DFT, PBE
State: relaxed

Results
Distance to the lowest polymorph of the same formula   162 meV/atom
SG   P4/mmm
Energy relative to the elements, uncorrected   614 meV/atom
Fermi-level density of states   6.0 states/eV/cell
Uncorrected energy   -4.066 eV per atom

Cell lengths 5.0454, 5.0454, 4.8434 Å; angles 90.00, 90.00, 90.00 degrees
With the nearest neighbours (Å) after each atom.
Atoms (fractional coordinates):
Ni (0.5000, 0.5000, 0.5000)  8 Br 3.50, 4 As 3.57
As (0.0000, 0.0000, 0.5000)  2 Cr 2.42
Br (0.0000, 0.5000, 0.0000)  2 Cr 2.52
Br (0.5000, 0.0000, 0.0000)  2 Cr 2.52
Cr (0.0000, 0.0000, 0.0000)  2 As 2.42, 4 Br 2.52